# AgPtRhF2, optimized geometry, DFT PBE
# Formation energy (no corrections): -0.0434 eV per atom
data_AgPtRhF2
_cell_length_a 3.9328
_cell_length_b 3.9328
_cell_length_c 5.6598
_cell_angle_alpha 90.00
_cell_angle_beta 90.00
_cell_angle_gamma 90.00
_space_group_name_H-M_alt 'P 4/m m m'
_space_group_IT_number 123
_space_group_name_Hall '-P 4 2'
loop_
_atom_site_label
_atom_site_type_symbol
_atom_site_fract_x
_atom_site_fract_y
_atom_site_fract_z
Ag1 Ag 0.0000 0.0000 0.0000
Pt1 Pt 0.5000 0.5000 0.0000
Rh1 Rh 0.0000 0.0000 0.5000
F1 F 0.0000 0.5000 0.5000



# SrAg2PtF8, optimized geometry, DFT PBE
# Formation energy (no corrections): -1.7282 eV per atom
data_SrAg2PtF8
_cell_length_a 5.5207
_cell_length_b 5.5207
_cell_length_c 7.0389
_cell_angle_alpha 90.00
_cell_angle_beta 90.00
_cell_angle_gamma 120.00
_space_group_name_H-M_alt 'P -3 m 1'
_space_group_IT_number 164
_space_group_name_Hall '-P 3 2"'
loop_
_atom_site_label
_atom_site_type_symbol
_atom_site_fract_x
_atom_site_fract_y
_atom_site_fract_z
Sr1 Sr 0.0000 0.0000 0.0000
Ag1 Ag 0.3333 0.6667 0.3644
Pt1 Pt 0.0000 0.0000 0.5000
F1 F 0.1601 0.3203 0.6777
F2 F 0.3333 0.6667 0.0559



# SrAgPtF6, optimized geometry, DFT PBE
# Formation energy (no corrections): -1.9862 eV per atom
data_SrAgPtF6
_cell_length_a 6.1516
_cell_length_b 6.1516
_cell_length_c 9.0722
_cell_angle_alpha 90.00
_cell_angle_beta 90.00
_cell_angle_gamma 120.00
_space_group_name_H-M_alt 'P -3 1 c'
_space_group_IT_number 163
_space_group_name_Hall '-P 3 2c'
loop_
_atom_site_label
_atom_site_type_symbol
_atom_site_fract_x
_atom_site_fract_y
_atom_site_fract_z
Sr1 Sr 0.3333 0.6667 0.2500
Ag1 Ag 0.0000 0.0000 0.0000
Pt1 Pt 0.3333 0.6667 0.7500
F1 F 0.0436 0.3733 0.6284



# TaAgPtF2, optimized geometry, DFT PBE
# Formation energy (no corrections): 0.4699 eV per atom
data_TaAgPtF2
_cell_length_a 4.1182
_cell_length_b 4.1182
_cell_length_c 5.5342
_cell_angle_alpha 90.00
_cell_angle_beta 90.00
_cell_angle_gamma 90.00
_space_group_name_H-M_alt 'P 4/m m m'
_space_group_IT_number 123
_space_group_name_Hall '-P 4 2'
loop_
_atom_site_label
_atom_site_type_symbol
_atom_site_fract_x
_atom_site_fract_y
_atom_site_fract_z
Ta1 Ta 0.0000 0.0000 0.0000
Ag1 Ag 0.5000 0.5000 0.0000
Pt1 Pt 0.5000 0.5000 0.5000
F1 F 0.0000 0.5000 0.5000



# Tl2AgPtF6, optimized geometry, DFT PBE
# Formation energy (no corrections): -1.3999 eV per atom
data_Tl2AgPtF6
_cell_length_a 6.3966
_cell_length_b 6.3966
_cell_length_c 31.4148
_cell_angle_alpha 90.00
_cell_angle_beta 90.00
_cell_angle_gamma 120.00
_space_group_name_H-M_alt 'R -3 m'
_space_group_IT_number 166
_space_group_name_Hall '-R 3 2"'
loop_
_atom_site_label
_atom_site_type_symbol
_atom_site_fract_x
_atom_site_fract_y
_atom_site_fract_z
Tl1 Tl 0.0000 0.0000 0.1390
Tl2 Tl 0.0000 0.0000 0.2682
Ag1 Ag 0.0000 0.0000 0.4063
Pt1 Pt 0.0000 0.0000 0.0000
Pt2 Pt 0.0000 0.0000 0.5000
F1 F 0.0051 0.5025 0.8735
F2 F 0.0421 0.5211 0.7040